{"formula": "CsBa2InPt", "functional": "PBE-GGA", "state": "relaxed", "lattice_angstrom": [[6.323, 0.000, 0.000], [0.000, 6.323, 0.000], [0.000, 0.000, 5.405]], "species": ["Cs", "Ba", "Ba", "In", "Pt"], "fractional_positions": [[0.000, 0.000, 0.000], [0.000, 0.500, 0.500], [0.500, 0.000, 0.500], [0.500, 0.500, 0.000], [0.500, 0.500, 0.500]], "formation_energy_ev_per_atom": -0.318, "total_energy_ev_per_fu": -15.1}